# 1
Density functional theory data (PBE) for crystalline Pu2Al3Ga5 at its relaxed geometry.

Structure (extended XYZ):
```
20
Lattice="6.056 0.000 0.000 3.028 8.084 -0.075 3.028 1.173 7.999" Properties=species:S:1:pos:R:3 pbc="T T T"
Al 1.514 0.000 0.000
Al 6.056 4.993 6.016
Al 4.542 0.000 0.000
Al 3.028 2.543 3.919
Al 6.056 4.264 1.908
Al 9.083 6.714 4.005
Ga 10.597 7.091 6.070
Ga 6.056 3.266 7.736
Ga 4.542 4.629 3.962
Ga 1.514 2.167 1.855
Ga 6.056 5.992 0.188
Ga 3.028 1.110 5.891
Ga 9.083 8.148 2.033
Ga 4.542 2.167 1.855
Ga 7.569 7.091 6.070
Ga 7.569 4.629 3.962
Pu 6.056 1.801 4.908
Pu 9.083 4.131 6.902
Pu 6.056 7.457 3.017
Pu 3.028 5.127 1.022
```

Total energy = -5.76 eV per atom

***

# 2
Density functional theory data (PBE) for crystalline Cs3CuPd at its relaxed geometry.

Structure (extended XYZ):
```
5
Lattice="6.541 0.000 0.000 0.000 6.541 0.000 0.000 0.000 6.541" Properties=species:S:1:pos:R:3 pbc="T T T"
Cs 0.000 0.000 3.270
Cs 0.000 3.270 0.000
Cs 3.270 0.000 0.000
Pd 3.270 3.270 3.270
Cu 0.000 0.000 0.000
```

Total energy = -1.93 eV per atom

***

# 3
Density functional theory data (PBE) for crystalline Pm2Sm3Dy5 at its relaxed geometry.

Structure (extended XYZ):
```
20
Lattice="6.855 0.000 0.000 3.428 11.544 2.876 3.427 5.836 10.366" Properties=species:S:1:pos:R:3 pbc="T T T"
Dy 5.141 8.690 6.621
Dy 6.855 11.374 7.604
Dy 8.569 8.690 6.621
Dy 8.569 13.017 9.918
Dy 10.283 10.350 8.948
Dy 5.141 4.363 3.324
Dy 5.141 13.017 9.918
Dy 6.855 6.006 5.638
Dy 3.428 7.030 4.295
Dy 8.569 4.363 3.324
Sm 6.855 9.515 10.191
Sm 1.714 0.000 0.000
Sm 10.283 12.350 6.469
Sm 3.427 5.030 6.773
Sm 5.141 0.000 0.000
Sm 6.855 7.865 3.052
Pm 10.283 15.762 10.828
Pm 3.428 1.618 2.414
Pm 6.855 2.757 0.919
Pm 6.855 14.623 12.324
```

Total energy = -4.28 eV per atom

***

# 4
Density functional theory data (PBE) for crystalline Al2Ag2W at its relaxed geometry.

Structure (extended XYZ):
```
5
Lattice="3.606 -4.994 2.693 2.601 -1.142 6.093 -5.312 1.860 -3.677" Properties=species:S:1:pos:R:3 pbc="T T T"
Al 3.701 -3.659 5.239
Al 2.506 -2.477 3.547
Ag 0.196 -1.175 3.405
Ag 0.699 -3.101 1.705
W 0.000 0.000 0.000
```

Total energy = -4.79 eV per atom

***

# 5
Density functional theory data (PBE) for crystalline Dy3Te at its relaxed geometry.

Structure (extended XYZ):
```
32
Lattice="-3.998 4.488 -1.124 -5.626 -7.114 -8.397 -7.472 -4.456 8.781" Properties=species:S:1:pos:R:3 pbc="T T T"
Dy -11.727 -6.002 0.660
Dy -11.982 -3.878 -4.902
Dy -8.190 -2.344 3.588
Dy -10.086 -7.950 2.891
Dy -13.240 -9.137 0.985
Dy -3.309 -3.287 -2.591
Dy -10.592 -2.663 0.791
Dy -5.377 -5.795 -4.470
Dy -11.560 -7.161 -2.878
Dy -5.238 -0.254 2.221
Dy -2.170 0.163 -1.252
Dy -5.476 -0.958 -1.431
Dy -9.425 -0.846 6.496
Dy -13.916 -4.620 -1.771
Dy -8.815 0.951 3.121
Dy -6.190 -2.288 -4.990
Dy -8.797 -4.860 -4.298
Dy -11.202 -4.460 4.166
Dy -8.815 -1.824 -2.182
Dy -6.378 -3.704 0.881
Dy -7.069 1.905 -0.063
Dy -8.406 -5.974 -0.972
Dy -7.829 -5.653 4.822
Dy -9.357 -4.343 -7.710
Te -6.462 -3.881 -2.272
Te -7.915 -0.987 0.706
Te -8.981 -5.056 1.996
Te -14.811 -6.382 0.800
Te -4.630 1.934 -2.200
Te -7.038 -2.941 6.414
Te -10.832 -4.241 -1.911
Te -7.712 -6.774 -6.495
```

Energy relative to the elements, uncorrected = -636 meV per atom

***

# 6
Density functional theory data (PBE) for crystalline Y2Pu3UAs6 at its relaxed geometry.

Structure (extended XYZ):
```
12
Lattice="-1.227 1.888 3.458 4.178 -5.491 4.480 4.534 8.328 -5.401" Properties=species:S:1:pos:R:3 pbc="T T T"
Y 3.413 0.346 1.021
Y 4.073 4.379 1.516
As 1.036 -1.348 1.104
As 1.705 2.638 1.627
As 3.636 4.814 -1.339
As 5.780 2.087 0.910
As 3.849 -0.088 3.876
As 6.449 6.073 1.433
Pu 1.475 -1.801 3.969
Pu 6.170 1.630 3.760
Pu 1.316 3.095 -1.224
U -0.613 0.944 1.729
```

Total energy = -9.06 eV per atom

***

The calculation returns the following total magnetic moment values, one per record and in order: 23.187 0.000 0.000 0.000 0.000 2.899 μB per cell.
The calculation returns the following N(E_F) values, one per record and in order: 21.12 0.00 15.71 2.10 4.82 40.31 states/eV/f.u..